1.
Below is a relaxed structure of NiTe2Rh, with properties calculated at the PBE level.

Magnetization = 0.00 μB per cell
Fermi-level density of states = 0.46 states/eV per atom
Uncorrected energy = -5.050 eV/atom
Crystal system = trigonal
Volume = 86.6 Å³/cell
Energy relative to the elements, uncorrected = -0.8 eV/f.u.

a = 6.8372 Å, b = 6.8372 Å, c = 6.8372 Å
α = 33.48°, β = 33.48°, γ = 33.48°
With the nearest neighbours (Å) after each atom.
Element x y z (fractional)
1 Rh 0.7669 0.7669 0.7669  3 Ni 2.54, 3 Te 2.65
2 Te 0.2113 0.2113 0.2113  3 Ni 2.49
3 Te 0.0299 0.0299 0.0299  3 Rh 2.65
4 Ni 0.4919 0.4919 0.4919  3 Te 2.49, 3 Rh 2.54



2.
Below is a relaxed structure of NiTe2Rh, with properties calculated at the PBE level.

Magnetization = 0.00 μB per cell
Fermi-level density of states = 1.14 states/eV per atom
Uncorrected energy = -4.250 eV/atom
Crystal system = cubic
Volume = 77.7 Å³/cell
Energy relative to the elements, uncorrected = 2.4 eV/f.u.

a = 4.7897 Å, b = 4.7897 Å, c = 4.7897 Å
α = 60.00°, β = 60.00°, γ = 60.00°
With the nearest neighbours (Å) after each atom.
Element x y z (fractional)
1 Te 0.0000 0.0000 0.0000  4 Rh 2.93, 4 Te 2.93
2 Te 0.2500 0.2500 0.2500  4 Te 2.93, 4 Ni 2.93
3 Rh 0.7500 0.7500 0.7500  4 Ni 2.93, 4 Te 2.93
4 Ni 0.5000 0.5000 0.5000  4 Te 2.93, 4 Rh 2.93